First-principles (PBE+U) data for a relaxed structure of LiMnF3, as listed in Alexandria via LeMat-Bulk.

CIF file:
```
data_LiMnF3
_chemical_formula_sum 'Li8 Mn8 F24'
_cell_length_a 9.9480
_cell_length_b 9.2591
_cell_length_c 5.5790
_cell_angle_alpha 90.00
_cell_angle_beta 99.85
_cell_angle_gamma 90.00
_space_group_name_H-M_alt 'C 1 2/c 1'
_space_group_IT_number 15
_space_group_name_Hall '-C 2yc'
loop_
_atom_site_label
_atom_site_type_symbol
_atom_site_fract_x
_atom_site_fract_y
_atom_site_fract_z
_atom_site_occupancy
Li1 Li 0.1932 0.0890 0.3021 1
Mn1 Mn 0.0000 0.2047 0.7500 1
Mn2 Mn 0.0000 0.4044 0.2500 1
F1 F 0.1078 0.4112 0.6238 1
F2 F 0.1109 0.2442 0.1060 1
F3 F 0.1400 0.0767 0.6122 1
```

Properties
- V: 12.7 A^3/atom
- Energy above the most stable polymorph in this dataset: 4 meV per atom